VASP calculation (PBE) on a relaxed CsBa2NaPt crystal.

a = 6.2292 Å, b = 6.2292 Å, c = 6.4651 Å
α = 90.00°, β = 90.00°, γ = 90.00°
Last column: nearest neighbours and their distance in Å.
Fractional coordinates of all 5 atoms:
1 Ba 0.5000 0.0000 0.0000  2 Pt 3.11
2 Na 0.0000 0.0000 0.5000  2 Pt 3.23
3 Ba 0.0000 0.5000 0.0000  2 Pt 3.11
4 Pt 0.0000 0.0000 0.0000  4 Ba 3.11, 2 Na 3.23
5 Cs 0.5000 0.5000 0.5000  4 Na 4.40, 8 Ba 4.49

Calculated values
crystal system: tetragonal
ΔE to the lowest computed polymorph: 0.0131 eV/atom
total magnetization: 0.00 μB per cell